# 1
A relaxed LiAcGe2Rh crystal, computed with PBE-GGA.

- Energy relative to the elements: -679 meV/atom

```
data_LiAcGe2Rh
_chemical_formula_sum 'Li1 Ac1 Ge2 Rh1'
_symmetry_space_group_name_H-M 'P 1'
_symmetry_Int_Tables_number 1
_symmetry_space_group_name_Hall 'P 1'
_cell_length_a 4.397
_cell_length_b 4.397
_cell_length_c 6.080
_cell_angle_alpha 111.20
_cell_angle_beta 111.20
_cell_angle_gamma 90.00
loop_
_atom_site_label
_atom_site_type_symbol
_atom_site_fract_x
_atom_site_fract_y
_atom_site_fract_z
Rh1 Rh 0.750 0.250 0.500
Li1 Li 0.250 0.750 0.500
Ge1 Ge 0.373 0.373 0.746
Ac1 Ac 0.000 0.000 0.000
Ge2 Ge 0.627 0.627 0.254
```


# 2
A relaxed LiAcGeRh crystal, computed with PBE-GGA.

- Energy relative to the elements: -396 meV/atom

```
data_LiAcGeRh
_chemical_formula_sum 'Li1 Ac1 Ge1 Rh1'
_symmetry_space_group_name_H-M 'P 1'
_symmetry_Int_Tables_number 1
_symmetry_space_group_name_Hall 'P 1'
_cell_length_a 4.862
_cell_length_b 4.862
_cell_length_c 4.862
_cell_angle_alpha 60.00
_cell_angle_beta 60.00
_cell_angle_gamma 60.00
loop_
_atom_site_label
_atom_site_type_symbol
_atom_site_fract_x
_atom_site_fract_y
_atom_site_fract_z
Ge1 Ge 0.750 0.750 0.750
Rh1 Rh 0.000 0.000 0.000
Ac1 Ac 0.250 0.250 0.250
Li1 Li 0.500 0.500 0.500
```


# 3
A relaxed Li3Ac2Ge4Rh crystal, computed with PBE-GGA.

- Energy relative to the elements: -602 meV/atom

```
data_Li3Ac2Ge4Rh
_chemical_formula_sum 'Li3 Ac2 Ge4 Rh1'
_symmetry_space_group_name_H-M 'P 1'
_symmetry_Int_Tables_number 1
_symmetry_space_group_name_Hall 'P 1'
_cell_length_a 4.420
_cell_length_b 4.420
_cell_length_c 10.473
_cell_angle_alpha 90.00
_cell_angle_beta 90.00
_cell_angle_gamma 90.00
loop_
_atom_site_label
_atom_site_type_symbol
_atom_site_fract_x
_atom_site_fract_y
_atom_site_fract_z
Rh1 Rh 0.500 0.500 0.500
Ge1 Ge 0.500 0.500 0.000
Ge2 Ge 0.500 0.000 0.618
Ge3 Ge 0.000 0.000 0.000
Li1 Li 0.000 0.500 0.129
Li2 Li 0.000 0.000 0.500
Ac1 Ac 0.500 0.000 0.253
Ge4 Ge 0.000 0.500 0.382
Ac2 Ac 0.000 0.500 0.747
Li3 Li 0.500 0.000 0.871
```


# 4
A relaxed LiAc2Ge3Rh4 crystal, computed with PBE-GGA.

- Energy relative to the elements: -802 meV/atom

```
data_LiAc2Ge3Rh4
_chemical_formula_sum 'Li1 Ac2 Ge3 Rh4'
_symmetry_space_group_name_H-M 'P 1'
_symmetry_Int_Tables_number 1
_symmetry_space_group_name_Hall 'P 1'
_cell_length_a 4.250
_cell_length_b 4.250
_cell_length_c 10.755
_cell_angle_alpha 90.00
_cell_angle_beta 90.00
_cell_angle_gamma 90.00
loop_
_atom_site_label
_atom_site_type_symbol
_atom_site_fract_x
_atom_site_fract_y
_atom_site_fract_z
Rh1 Rh 0.000 0.000 0.000
Ac1 Ac 0.000 0.500 0.744
Li1 Li 0.500 0.500 0.500
Ac2 Ac 0.500 0.000 0.256
Ge1 Ge 0.000 0.500 0.123
Rh2 Rh 0.500 0.500 0.000
Ge2 Ge 0.500 0.000 0.877
Rh3 Rh 0.000 0.500 0.363
Rh4 Rh 0.500 0.000 0.637
Ge3 Ge 0.000 0.000 0.500
```


# 5
A relaxed LiAcGe2Ru crystal, computed with PBE-GGA.

- Energy relative to the elements: -506 meV/atom

```
data_LiAcGe2Ru
_chemical_formula_sum 'Li1 Ac1 Ge2 Ru1'
_symmetry_space_group_name_H-M 'P 1'
_symmetry_Int_Tables_number 1
_symmetry_space_group_name_Hall 'P 1'
_cell_length_a 4.348
_cell_length_b 4.348
_cell_length_c 6.205
_cell_angle_alpha 110.51
_cell_angle_beta 110.51
_cell_angle_gamma 90.00
loop_
_atom_site_label
_atom_site_type_symbol
_atom_site_fract_x
_atom_site_fract_y
_atom_site_fract_z
Ge1 Ge 0.365 0.365 0.730
Ac1 Ac 0.000 0.000 0.000
Li1 Li 0.250 0.750 0.500
Ru1 Ru 0.750 0.250 0.500
Ge2 Ge 0.635 0.635 0.270
```


# 6
A relaxed LiAcGeS4 crystal, computed with PBE-GGA.

- E_form (uncorrected): -1.181 eV per atom

```
data_LiAcGeS4
_chemical_formula_sum 'Li2 Ac2 Ge2 S8'
_symmetry_space_group_name_H-M 'P 1'
_symmetry_Int_Tables_number 1
_symmetry_space_group_name_Hall 'P 1'
_cell_length_a 6.428
_cell_length_b 6.856
_cell_length_c 7.777
_cell_angle_alpha 90.00
_cell_angle_beta 105.12
_cell_angle_gamma 90.00
loop_
_atom_site_label
_atom_site_type_symbol
_atom_site_fract_x
_atom_site_fract_y
_atom_site_fract_z
S1 S 0.478 0.750 0.585
S2 S 0.364 0.750 0.079
Ge1 Ge 0.245 0.750 0.326
S3 S 0.002 0.994 0.270
Ac1 Ac 0.768 0.750 0.946
Ge2 Ge 0.755 0.250 0.674
S4 S 0.002 0.506 0.270
S5 S 0.636 0.250 0.921
S6 S 0.998 0.006 0.730
Li1 Li 0.179 0.250 0.513
Li2 Li 0.821 0.750 0.487
Ac2 Ac 0.232 0.250 0.054
S7 S 0.998 0.494 0.730
S8 S 0.522 0.250 0.415
```


# 7
A relaxed LiAc2GeS5 crystal, computed with PBE-GGA.

- E_form (uncorrected): -1.522 eV per atom

```
data_LiAc2GeS5
_chemical_formula_sum 'Li2 Ac4 Ge2 S10'
_symmetry_space_group_name_H-M 'P 1'
_symmetry_Int_Tables_number 1
_symmetry_space_group_name_Hall 'P 1'
_cell_length_a 4.279
_cell_length_b 8.830
_cell_length_c 11.554
_cell_angle_alpha 90.00
_cell_angle_beta 90.00
_cell_angle_gamma 104.02
loop_
_atom_site_label
_atom_site_type_symbol
_atom_site_fract_x
_atom_site_fract_y
_atom_site_fract_z
Ge1 Ge 0.565 0.130 0.959
S1 S 0.046 0.092 0.040
S2 S 0.704 0.408 0.167
S3 S 0.643 0.287 0.503
S4 S 0.685 0.369 0.861
S5 S 0.499 0.998 0.279
S6 S 0.501 0.002 0.779
Li1 Li 0.214 0.427 0.021
Li2 Li 0.786 0.573 0.521
S7 S 0.954 0.908 0.540
Ac1 Ac 0.876 0.753 0.186
Ac2 Ac 0.868 0.735 0.808
Ac3 Ac 0.132 0.265 0.308
S8 S 0.296 0.592 0.667
S9 S 0.357 0.713 0.003
Ge2 Ge 0.435 0.870 0.459
Ac4 Ac 0.124 0.247 0.686
S10 S 0.315 0.631 0.361
```


# 8
A relaxed LiAcGeSb crystal, computed with PBE-GGA.

- E_form (uncorrected): -0.423 eV per atom

```
data_LiAcGeSb
_chemical_formula_sum 'Li1 Ac1 Ge1 Sb1'
_symmetry_space_group_name_H-M 'P 1'
_symmetry_Int_Tables_number 1
_symmetry_space_group_name_Hall 'P 1'
_cell_length_a 5.365
_cell_length_b 5.365
_cell_length_c 5.365
_cell_angle_alpha 60.00
_cell_angle_beta 60.00
_cell_angle_gamma 60.00
loop_
_atom_site_label
_atom_site_type_symbol
_atom_site_fract_x
_atom_site_fract_y
_atom_site_fract_z
Li1 Li 0.500 0.500 0.500
Ac1 Ac 0.000 0.000 0.000
Ge1 Ge 0.250 0.250 0.250
Sb1 Sb 0.750 0.750 0.750
```